No. 1
# CsTl2Te2, relaxed, DFT PBE-GGA
# - density (kg/m³) = 7057
# - uncorrected formation energy (eV/f.u.) = -2.24
# - E_tot (eV for the cell shown) = -28.2
# - density of states at the Fermi level (states/eV per atom) = 0.4638
# - size of the total moment (μB/f.u.) = 0.00
data_CsTl2Te2
_symmetry_space_group_name_H-M 'P 4/m b m'
_symmetry_Int_Tables_number 127
_symmetry_space_group_name_Hall '-P 4 2ab'
_cell_length_a 9.837
_cell_length_b 9.837
_cell_length_c 3.876
_cell_angle_alpha 90.00
_cell_angle_beta 90.00
_cell_angle_gamma 90.00
loop_
_atom_site_label
_atom_site_type_symbol
_atom_site_fract_x
_atom_site_fract_y
_atom_site_fract_z
Cs1 Cs 0.000 0.000 0.000
Tl1 Tl 0.121 0.379 0.000
Te1 Te 0.177 0.677 0.500


No. 2
# Cs3UTl2Te6, relaxed, DFT PBE-GGA
# - density (kg/m³) = 5732
# - uncorrected formation energy (eV/f.u.) = -8.08
# - E_tot (eV for the cell shown) = -91.0
# - density of states at the Fermi level (states/eV per atom) = 1.3178
# - size of the total moment (μB/f.u.) = 0.00
data_Cs3UTl2Te6
_symmetry_space_group_name_H-M 'C 1 2/m 1'
_symmetry_Int_Tables_number 12
_cell_length_a 8.414
_cell_length_b 14.492
_cell_length_c 9.024
_cell_angle_alpha 90.00
_cell_angle_beta 107.52
_cell_angle_gamma 90.00
loop_
_symmetry_equiv_pos_as_xyz
'x,y,z'
'-x,-y,-z'
'-x,y,-z'
'x,-y,z'
'x+1/2,y+1/2,z'
'-x+1/2,-y+1/2,-z'
'-x+1/2,y+1/2,-z'
'x+1/2,-y+1/2,z'
loop_
_atom_site_label
_atom_site_type_symbol
_atom_site_fract_x
_atom_site_fract_y
_atom_site_fract_z
Cs1 Cs 0.000 0.000 0.000
Cs2 Cs 0.000 0.319 0.000
U1 U 0.000 0.500 0.500
Tl1 Tl 0.000 0.163 0.500
Te1 Te 0.210 0.354 0.689
Te2 Te 0.221 0.500 0.301


No. 3
# CsU2Tl3Te6, relaxed, DFT PBE-GGA
# - density (kg/m³) = 6926
# - uncorrected formation energy (eV/f.u.) = -6.83
# - E_tot (eV for the cell shown) = -112.4
# - density of states at the Fermi level (states/eV per atom) = 1.2129
# - size of the total moment (μB/f.u.) = 3.99
data_CsU2Tl3Te6
_symmetry_space_group_name_H-M 'C 1 2/m 1'
_symmetry_Int_Tables_number 12
_cell_length_a 21.510
_cell_length_b 4.562
_cell_length_c 9.896
_cell_angle_alpha 90.00
_cell_angle_beta 101.08
_cell_angle_gamma 90.00
loop_
_symmetry_equiv_pos_as_xyz
'x,y,z'
'-x,-y,-z'
'-x,y,-z'
'x,-y,z'
'x+1/2,y+1/2,z'
'-x+1/2,-y+1/2,-z'
'-x+1/2,y+1/2,-z'
'x+1/2,-y+1/2,z'
loop_
_atom_site_label
_atom_site_type_symbol
_atom_site_fract_x
_atom_site_fract_y
_atom_site_fract_z
Cs1 Cs 0.000 0.000 0.000
U1 U 0.178 0.500 0.345
Tl1 Tl 0.000 0.000 0.500
Tl2 Tl 0.165 0.500 0.834
Te1 Te 0.041 0.500 0.293
Te2 Te 0.175 0.000 0.564
Te3 Te 0.183 0.000 0.135


No. 4
# CsTlZnTe2, relaxed, DFT PBE-GGA
# - density (kg/m³) = 4852
# - uncorrected formation energy (eV/f.u.) = -2.65
# - E_tot (eV for the cell shown) = -26.9
# - size of the total moment (μB/f.u.) = 0.00
data_CsTlZnTe2
_symmetry_space_group_name_H-M 'P 1 2/c 1'
_symmetry_Int_Tables_number 13
_cell_length_a 8.447
_cell_length_b 5.893
_cell_length_c 9.058
_cell_angle_alpha 90.00
_cell_angle_beta 92.89
_cell_angle_gamma 90.00
loop_
_symmetry_equiv_pos_as_xyz
'x,y,z'
'-x,-y,-z'
'-x,y,-z+1/2'
'x,-y,z+1/2'
loop_
_atom_site_label
_atom_site_type_symbol
_atom_site_fract_x
_atom_site_fract_y
_atom_site_fract_z
Cs1 Cs 0.000 0.240 0.250
Tl1 Tl 0.500 0.086 0.250
Zn1 Zn 0.500 0.500 0.000
Te1 Te 0.270 0.272 0.905


No. 5
# CsZrTlTe3, relaxed, DFT PBE-GGA
# - density (kg/m³) = 5170
# - uncorrected formation energy (eV/f.u.) = -4.81
# - E_tot (eV for the cell shown) = -104.0
# - size of the total moment (μB/f.u.) = 0.00
data_CsZrTlTe3
_symmetry_space_group_name_H-M 'C 1 2/c 1'
_symmetry_Int_Tables_number 15
_cell_length_a 8.358
_cell_length_b 16.511
_cell_length_c 7.734
_cell_angle_alpha 90.00
_cell_angle_beta 102.39
_cell_angle_gamma 90.00
loop_
_symmetry_equiv_pos_as_xyz
'x,y,z'
'-x,-y,-z'
'-x,y,-z+1/2'
'x,-y,z+1/2'
'x+1/2,y+1/2,z'
'-x+1/2,-y+1/2,-z'
'-x+1/2,y+1/2,-z+1/2'
'x+1/2,-y+1/2,z+1/2'
loop_
_atom_site_label
_atom_site_type_symbol
_atom_site_fract_x
_atom_site_fract_y
_atom_site_fract_z
Cs1 Cs 0.000 0.249 0.250
Zr1 Zr 0.000 0.452 0.750
Tl1 Tl 0.000 0.083 0.750
Te1 Te 0.000 0.286 0.750
Te2 Te 0.226 0.458 0.504


No. 6
# CsTmTe2, relaxed, DFT PBE-GGA
# - density (kg/m³) = 5894
# - uncorrected formation energy (eV/f.u.) = -5.43
# - E_tot (eV for the cell shown) = -51.1
# - size of the total moment (μB/f.u.) = 0.00
data_CsTmTe2
_symmetry_space_group_name_H-M 'R -3 m'
_symmetry_Int_Tables_number 166
_symmetry_space_group_name_Hall '-R 3 2"'
_cell_length_a 4.5112
_cell_length_b 4.5112
_cell_length_c 26.7151
_cell_angle_alpha 90.00
_cell_angle_beta 90.00
_cell_angle_gamma 120.00
loop_
_atom_site_label
_atom_site_type_symbol
_atom_site_fract_x
_atom_site_fract_y
_atom_site_fract_z
Cs1 Cs 0.0000 0.0000 0.0000
Tm1 Tm 0.0000 0.0000 0.5000
Te1 Te 0.0000 0.0000 0.2291


No. 7
# Cs2TmTe6, relaxed, DFT PBE-GGA
# - density (kg/m³) = 4980
# - uncorrected formation energy (eV/f.u.) = -6.23
# - E_tot (eV for the cell shown) = -62.5
# - density of states at the Fermi level (states/eV per atom) = 0.5370
# - size of the total moment (μB/f.u.) = 0.00
data_Cs2TmTe6
_symmetry_space_group_name_H-M 'C 1 2/m 1'
_symmetry_Int_Tables_number 12
_cell_length_a 16.914
_cell_length_b 9.494
_cell_length_c 5.092
_cell_angle_alpha 90.00
_cell_angle_beta 101.75
_cell_angle_gamma 90.00
loop_
_symmetry_equiv_pos_as_xyz
'x,y,z'
'-x,-y,-z'
'-x,y,-z'
'x,-y,z'
'x+1/2,y+1/2,z'
'-x+1/2,-y+1/2,-z'
'-x+1/2,y+1/2,-z'
'x+1/2,-y+1/2,z'
loop_
_atom_site_label
_atom_site_type_symbol
_atom_site_fract_x
_atom_site_fract_y
_atom_site_fract_z
Cs1 Cs 0.177 0.000 0.440
Tm1 Tm 0.000 0.500 0.000
Te1 Te 0.000 0.303 0.500
Te2 Te 0.154 0.333 0.911


No. 8
# CsTm5Te8, relaxed, DFT PBE-GGA
# - density (kg/m³) = 6501
# - uncorrected formation energy (eV/f.u.) = -19.41
# - E_tot (eV for the cell shown) = -135.5
# - size of the total moment (μB/f.u.) = 0.00
data_CsTm5Te8
_symmetry_space_group_name_H-M 'C 1 m 1'
_symmetry_Int_Tables_number 8
_cell_length_a 22.393
_cell_length_b 4.359
_cell_length_c 10.788
_cell_angle_alpha 90.00
_cell_angle_beta 104.17
_cell_angle_gamma 90.00
loop_
_symmetry_equiv_pos_as_xyz
'x,y,z'
'x,-y,z'
'x+1/2,y+1/2,z'
'x+1/2,-y+1/2,z'
loop_
_atom_site_label
_atom_site_type_symbol
_atom_site_fract_x
_atom_site_fract_y
_atom_site_fract_z
Cs1 Cs 0.000 0.000 0.000
Tm1 Tm 0.000 0.500 0.500
Tm2 Tm 0.156 0.000 0.472
Tm3 Tm 0.205 0.000 0.844
Tm4 Tm 0.295 0.500 0.155
Tm5 Tm 0.344 0.500 0.528
Te1 Te 0.076 0.000 0.662
Te2 Te 0.084 0.500 0.314
Te3 Te 0.165 0.500 0.996
Te4 Te 0.236 0.500 0.656
Te5 Te 0.264 0.000 0.344
Te6 Te 0.335 0.000 0.003
Te7 Te 0.416 0.000 0.685
Te8 Te 0.424 0.500 0.337


No. 9
# CsTmTe3, relaxed, DFT PBE-GGA
# - density (kg/m³) = 5631
# - uncorrected formation energy (eV/f.u.) = -4.85
# - E_tot (eV for the cell shown) = -78.4
# - density of states at the Fermi level (states/eV per atom) = 0.6171
# - size of the total moment (μB/f.u.) = 0.00
data_CsTmTe3
_symmetry_space_group_name_H-M 'P b c m'
_symmetry_Int_Tables_number 57
_cell_length_a 16.961
_cell_length_b 6.734
_cell_length_c 7.070
_cell_angle_alpha 90.00
_cell_angle_beta 90.00
_cell_angle_gamma 90.00
loop_
_symmetry_equiv_pos_as_xyz
'x,y,z'
'-x,-y,-z'
'-x,-y,z+1/2'
'x,y,-z+1/2'
'x,-y+1/2,-z'
'-x,y+1/2,z'
'-x,y+1/2,-z+1/2'
'x,-y+1/2,z+1/2'
loop_
_atom_site_label
_atom_site_type_symbol
_atom_site_fract_x
_atom_site_fract_y
_atom_site_fract_z
Cs1 Cs 0.189 0.030 0.250
Tm1 Tm 0.424 0.750 0.000
Te1 Te 0.004 0.750 0.000
Te2 Te 0.308 0.548 0.250
Te3 Te 0.437 0.110 0.250


No. 10
# CsTm6Te8, relaxed, DFT PBE-GGA
# - density (kg/m³) = 7020
# - uncorrected formation energy (eV/f.u.) = -19.66
# - E_tot (eV for the cell shown) = -72.5
# - density of states at the Fermi level (states/eV per atom) = 0.7696
# - size of the total moment (μB/f.u.) = 0.00
data_CsTm6Te8
_symmetry_space_group_name_H-M 'P -3'
_symmetry_Int_Tables_number 147
_cell_length_a 11.5773
_cell_length_b 11.5773
_cell_length_c 4.4168
_cell_angle_alpha 90.00
_cell_angle_beta 90.00
_cell_angle_gamma 120.00
loop_
_symmetry_equiv_pos_as_xyz
'x,y,z'
'-x,-y,-z'
'-y,x-y,z'
'y,-x+y,-z'
'-x+y,-x,z'
'x-y,x,-z'
loop_
_atom_site_label
_atom_site_type_symbol
_atom_site_fract_x
_atom_site_fract_y
_atom_site_fract_z
Cs1 Cs 0.0000 0.0000 0.0000
Tm1 Tm 0.1381 0.4879 0.2488
Te1 Te 0.0437 0.6918 0.2517
Te2 Te 0.3333 0.6667 0.7495


No. 11
# CsTmTe4, relaxed, DFT PBE-GGA
# - density (kg/m³) = 6007
# - uncorrected formation energy (eV/f.u.) = -5.50
# - E_tot (eV for the cell shown) = -46.8
# - density of states at the Fermi level (states/eV per atom) = 0.1448
# - size of the total moment (μB/f.u.) = 0.00
data_CsTmTe4
_symmetry_space_group_name_H-M 'P 4/n b m'
_symmetry_Int_Tables_number 125
_cell_length_a 6.846
_cell_length_b 6.846
_cell_length_c 9.582
_cell_angle_alpha 90.00
_cell_angle_beta 90.00
_cell_angle_gamma 90.00
loop_
_symmetry_equiv_pos_as_xyz
'x,y,z'
'-x,-y,-z'
'-y+1/2,x,z'
'y+1/2,-x,-z'
'-x+1/2,-y+1/2,z'
'x+1/2,y+1/2,-z'
'y,-x+1/2,z'
'-y,x+1/2,-z'
'x,-y+1/2,-z'
'-x,y+1/2,z'
'-y+1/2,-x+1/2,-z'
'y+1/2,x+1/2,z'
'-x+1/2,y,-z'
'x+1/2,-y,z'
'y,x,-z'
'-y,-x,z'
loop_
_atom_site_label
_atom_site_type_symbol
_atom_site_fract_x
_atom_site_fract_y
_atom_site_fract_z
Cs1 Cs 0.250 0.250 0.000
Tm1 Tm 0.250 0.250 0.500
Te1 Te 0.103 0.603 0.312


No. 12
# Cs3Tm11Te18, relaxed, DFT PBE-GGA
# - density (kg/m³) = 6390
# - uncorrected formation energy (eV/f.u.) = -44.42
# - E_tot (eV for the cell shown) = -305.4
# - size of the total moment (μB/f.u.) = 0.00
data_Cs3Tm11Te18
_symmetry_space_group_name_H-M 'C 1 2/m 1'
_symmetry_Int_Tables_number 12
_cell_length_a 26.889
_cell_length_b 4.376
_cell_length_c 20.429
_cell_angle_alpha 90.00
_cell_angle_beta 100.09
_cell_angle_gamma 90.00
loop_
_symmetry_equiv_pos_as_xyz
'x,y,z'
'-x,-y,-z'
'-x,y,-z'
'x,-y,z'
'x+1/2,y+1/2,z'
'-x+1/2,-y+1/2,-z'
'-x+1/2,y+1/2,-z'
'x+1/2,-y+1/2,z'
loop_
_atom_site_label
_atom_site_type_symbol
_atom_site_fract_x
_atom_site_fract_y
_atom_site_fract_z
Cs1 Cs 0.000 0.000 0.000
Cs2 Cs 0.195 0.500 0.592
Tm1 Tm 0.000 0.500 0.500
Tm2 Tm 0.033 0.000 0.758
Tm3 Tm 0.093 0.000 0.372
Tm4 Tm 0.154 0.500 0.225
Tm5 Tm 0.162 0.500 0.819
Tm6 Tm 0.204 0.000 0.072
Te1 Te 0.005 0.500 0.350
Te2 Te 0.061 0.500 0.860
Te3 Te 0.076 0.000 0.219
Te4 Te 0.080 0.000 0.515
Te5 Te 0.129 0.500 0.071
Te6 Te 0.135 0.000 0.719
Te7 Te 0.172 0.500 0.379
Te8 Te 0.209 0.000 0.923
Te9 Te 0.232 0.000 0.222